1.
LaTm2O PBE optimized geometry; symmetry = P4/mmm (123); ΔE_f (raw) = -0.777 eV/atom; DOS(E_F) = 0.930 states/eV per atom; total magnetic moment = 0.00 μB/f.u.; E above lowest polymorph = 1.85 eV per formula unit; V = 88.9 Å³ per cell
1.0
3.173 0.000 0.000
0.000 3.173 0.000
0.000 0.000 8.828
O Tm La
1 2 1
direct
0.500 0.500 0.000
0.000 0.000 0.827
0.000 0.000 0.173
0.500 0.500 0.500

***

2.
Pr2Dy4Y5 PBE optimized geometry; symmetry = C2/m (12); DOS(E_F) = 1.484 states/eV per atom; total magnetic moment = 0.00 μB/f.u.; E above lowest polymorph = 0.10 eV per formula unit; V = 368.4 Å³ per cell
1.0
-6.270 0.634 -2.286
-0.950 -3.502 -8.194
-2.806 -8.835 -4.581
Dy Y Pr
4 5 2
direct
0.413 0.769 0.405
0.587 0.231 0.595
0.244 0.314 0.197
0.756 0.686 0.803
0.351 0.729 0.092
0.000 0.500 0.500
0.827 0.729 0.092
0.173 0.271 0.908
0.649 0.271 0.908
0.201 0.894 0.703
0.799 0.106 0.297

***

3.
DyCo3GeB PBE optimized geometry; symmetry = Cmcm (63); DOS(E_F) = 0.987 states/eV per atom; total magnetic moment = 0.08 μB/f.u.; V = 163.4 Å³ per cell; total energy = -78.4 eV per cell
1.0
-0.193 -2.723 4.810
0.717 -4.604 -2.578
5.135 2.858 1.824
B Co Ge Dy
2 6 2 2
direct
0.250 0.985 0.970
0.750 0.015 0.030
0.500 0.250 0.000
0.000 0.250 0.000
0.000 0.750 0.000
0.500 0.750 0.000
0.750 0.837 0.674
0.250 0.163 0.326
0.750 0.631 0.263
0.250 0.369 0.737
0.250 0.735 0.471
0.750 0.265 0.529

***

4.
SrCa2I PBE optimized geometry; symmetry = R-3m (166); ΔE_f (raw) = -0.505 eV/atom; DOS(E_F) = 1.044 states/eV per atom; total magnetic moment = 0.08 μB/f.u.; E above lowest polymorph = 0.00 eV per formula unit; V = 167.5 Å³ per cell
1.0
-2.632 -2.825 -1.397
1.366 -3.127 -2.283
1.213 -8.207 8.275
Ca Sr I
2 1 1
direct
0.738 0.738 0.786
0.262 0.262 0.214
0.500 0.500 0.500
0.000 0.000 0.000